An optimized crystal structure of Sc2Sn2Pd3, computed with PBE-GGA.

Calculated values
D(E_F), states/eV/atom: 0.57
ΔE_f, meV/atom: -689
SG: P-1
Magnetic moment, μB/cell: 0.00

a = 4.576 Å, b = 4.714 Å, c = 7.864 Å
α = 86.17°, β = 106.58°, γ = 119.12°
Element x y z (fractional)
Sc: 0.753 0.370 0.138
Sc: 0.247 0.630 0.862
Sn: 0.240 0.108 0.375
Sn: 0.760 0.892 0.625
Pd: 0.000 0.000 0.000
Pd: 0.514 0.263 0.764
Pd: 0.486 0.737 0.236

***

An optimized crystal structure of ScSn4Pd7, computed with PBE-GGA.

Calculated values
D(E_F), states/eV/atom: 0.47
ΔE_f, meV/atom: -465
SG: C2/m
Magnetic moment, μB/cell: 0.00

a = 4.869 Å, b = 8.660 Å, c = 6.189 Å
α = 82.40°, β = 66.84°, γ = 73.67°
Element x y z (fractional)
Sc: 0.000 0.000 0.000
Sn: 0.591 0.224 0.595
Sn: 0.409 0.776 0.405
Sn: 0.737 0.667 0.860
Sn: 0.263 0.333 0.140
Pd: 0.782 0.904 0.532
Pd: 0.218 0.096 0.468
Pd: 0.074 0.682 0.171
Pd: 0.926 0.318 0.829
Pd: 0.362 0.534 0.742
Pd: 0.500 0.000 0.000
Pd: 0.638 0.466 0.258

***

An optimized crystal structure of ScSn3Pd12, computed with PBE-GGA.

Calculated values
D(E_F), states/eV/atom: 0.32
ΔE_f, meV/atom: -594
SG: P4/mmm
Magnetic moment, μB/cell: 0.00

a = 4.037 Å, b = 4.037 Å, c = 16.099 Å
α = 90.00°, β = 90.00°, γ = 90.00°
Element x y z (fractional)
Sc: 0.000 0.000 0.000
Sn: 0.000 0.000 0.249
Sn: 0.000 0.000 0.500
Sn: 0.000 0.000 0.751
Pd: 0.500 0.500 0.000
Pd: 0.500 0.500 0.250
Pd: 0.500 0.500 0.500
Pd: 0.500 0.500 0.750
Pd: 0.500 0.000 0.124
Pd: 0.500 0.000 0.374
Pd: 0.500 0.000 0.626
Pd: 0.500 0.000 0.876
Pd: 0.000 0.500 0.124
Pd: 0.000 0.500 0.374
Pd: 0.000 0.500 0.626
Pd: 0.000 0.500 0.876

***

An optimized crystal structure of Sc6SnPd5, computed with PBE-GGA.

Calculated values
D(E_F), states/eV/atom: 0.65
ΔE_f, meV/atom: -837
SG: P2/m
Magnetic moment, μB/cell: 0.00

a = 4.796 Å, b = 6.579 Å, c = 7.592 Å
α = 90.00°, β = 108.76°, γ = 90.00°
Element x y z (fractional)
Sc: 0.830 0.746 0.654
Sc: 0.830 0.254 0.654
Sc: 0.500 0.264 0.000
Sc: 0.500 0.736 0.000
Sc: 0.170 0.746 0.346
Sc: 0.170 0.254 0.346
Sn: 0.000 0.000 0.000
Pd: 0.659 0.500 0.331
Pd: 0.348 0.000 0.682
Pd: 0.000 0.500 0.000
Pd: 0.652 0.000 0.318
Pd: 0.341 0.500 0.669